#w
# In5Re

A relaxed structure of In5Re (PBE, Alexandria via LeMat-Bulk).

magnetization = 3.12 μB/f.u.

Cell: 5.673 5.673 5.783 Å, 90.00 90.00 120.00°
Sites, in units of the cell vectors:
In1 0.000 0.500 0.000
In2 0.333 0.667 0.500
In3 0.500 0.000 0.000
In4 0.500 0.500 0.000
In5 0.667 0.333 0.500
Re1 0.000 0.000 0.500

---

#x
# In5Re

A relaxed structure of In5Re (PBE, Alexandria via LeMat-Bulk).

magnetization = 0.02 μB/f.u.

Cell: 7.305 7.305 4.398 Å, 90.00 90.00 145.17°
Sites, in units of the cell vectors:
In1 0.000 0.000 0.000
In2 0.150 0.850 0.500
In3 0.342 0.658 0.000
In4 0.658 0.342 0.000
In5 0.850 0.150 0.500
Re1 0.500 0.500 0.500

---

Verdict on stability: #w comes out at the bottom.

---

#w
# InRe5

A relaxed structure of InRe5 (PBE, Alexandria via LeMat-Bulk).

magnetization = 0.00 μB/f.u.

Cell: 4.855 4.855 4.582 Å, 90.00 90.00 120.00°
Sites, in units of the cell vectors:
In1 0.000 0.000 0.000
Re1 0.000 0.662 0.500
Re2 0.333 0.667 0.000
Re3 0.338 0.338 0.500
Re4 0.662 0.000 0.500
Re5 0.667 0.333 0.000

---

#x
# InRe5

A relaxed structure of InRe5 (PBE, Alexandria via LeMat-Bulk).

magnetization = 0.00 μB/f.u.

Cell: 4.524 7.507 7.507 Å, 21.71 90.00 90.00°
Sites, in units of the cell vectors:
In1 0.000 0.000 0.000
Re1 0.000 0.326 0.326
Re2 0.000 0.671 0.671
Re3 0.500 0.226 0.226
Re4 0.500 0.565 0.565
Re5 0.500 0.887 0.887

---

#y
# InRe5

A relaxed structure of InRe5 (PBE, Alexandria via LeMat-Bulk).

magnetization = 0.00 μB/f.u.

Cell: 5.197 5.197 5.197 Å, 60.00 60.00 60.00°
Sites, in units of the cell vectors:
In1 0.000 0.000 0.000
Re1 0.374 0.374 0.374
Re2 0.374 0.374 0.877
Re3 0.374 0.877 0.374
Re4 0.750 0.750 0.750
Re5 0.877 0.374 0.374

---

Verdict on stability: #y comes out at the bottom.

---

#w
# In5Re3

A relaxed structure of In5Re3 (PBE, Alexandria via LeMat-Bulk).

magnetization = 0.00 μB/f.u.

Cell: 5.949 5.949 4.427 Å, 90.00 90.00 95.94°
Sites, in units of the cell vectors:
In1 0.000 0.000 0.000
In2 0.000 0.500 0.000
In3 0.221 0.779 0.500
In4 0.500 0.000 0.000
In5 0.779 0.221 0.500
Re1 0.313 0.313 0.500
Re2 0.500 0.500 0.000
Re3 0.687 0.687 0.500

---

#x
# In5Re3

A relaxed structure of In5Re3 (PBE, Alexandria via LeMat-Bulk).

magnetization = 1.69 μB/f.u.

Cell: 8.119 8.119 8.113 Å, 95.97 95.97 142.26°
Sites, in units of the cell vectors:
In1 0.073 0.724 0.799
In2 0.225 0.426 0.652
In3 0.250 0.250 0.000
In4 0.276 0.927 0.201
In5 0.426 0.225 0.652
In6 0.574 0.775 0.348
In7 0.724 0.073 0.799
In8 0.750 0.750 0.000
In9 0.775 0.574 0.348
In10 0.927 0.276 0.201
Re1 0.173 0.173 0.347
Re2 0.250 0.750 0.500
Re3 0.326 0.674 0.000
Re4 0.674 0.326 0.000
Re5 0.750 0.250 0.500
Re6 0.827 0.827 0.653

---

Verdict on stability: #x comes out at the bottom.

---

#w
# In3Re2

A relaxed structure of In3Re2 (PBE, Alexandria via LeMat-Bulk).

magnetization = 0.00 μB/f.u.

Cell: 10.547 6.533 12.210 Å, 59.68 32.32 87.99°
Sites, in units of the cell vectors:
In1 0.000 0.000 0.000
In2 0.180 0.763 0.597
In3 0.250 0.250 0.250
In4 0.653 0.790 0.070
In5 0.763 0.180 0.460
In6 0.790 0.653 0.487
Re1 0.335 0.651 0.720
Re2 0.530 0.956 0.915
Re3 0.651 0.335 0.294
Re4 0.956 0.530 0.599

---

#x
# In3Re2

A relaxed structure of In3Re2 (PBE, Alexandria via LeMat-Bulk).

magnetization = 0.00 μB/f.u.

Cell: 13.091 13.091 13.091 Å, 13.00 13.00 13.00°
Sites, in units of the cell vectors:
In1 0.000 0.000 0.000
In2 0.212 0.212 0.212
In3 0.788 0.788 0.788
Re1 0.392 0.392 0.392
Re2 0.608 0.608 0.608

---

Verdict on stability: #x comes out at the bottom.

---

#w
# In2ReRu2

A relaxed structure of In2ReRu2 (PBE, Alexandria via LeMat-Bulk).

magnetization = 0.00 μB/f.u.

Cell: 7.519 7.519 3.014 Å, 90.00 90.00 90.00°
Sites, in units of the cell vectors:
In1 0.134 0.366 0.000
In2 0.366 0.866 0.000
In3 0.634 0.134 0.000
In4 0.866 0.634 0.000
Re1 0.000 0.000 0.000
Re2 0.500 0.500 0.000
Ru1 0.168 0.668 0.500
Ru2 0.332 0.168 0.500
Ru3 0.668 0.832 0.500
Ru4 0.832 0.332 0.500

---

#x
# In2ReRu2

A relaxed structure of In2ReRu2 (PBE, Alexandria via LeMat-Bulk).

magnetization = 0.18 μB/f.u.

Cell: 8.356 8.356 8.356 Å, 156.27 156.27 33.81°
Sites, in units of the cell vectors:
In1 0.100 0.100 0.000
In2 0.900 0.900 0.000
Re1 0.500 0.500 0.000
Ru1 0.250 0.750 0.500
Ru2 0.750 0.250 0.500

---

Verdict on stability: #x comes out at the bottom.

---

#w
# In2ReRu

A relaxed structure of In2ReRu (PBE, Alexandria via LeMat-Bulk).

magnetization = 0.00 μB/f.u.

Cell: 4.629 4.629 4.629 Å, 60.00 60.00 60.00°
Sites, in units of the cell vectors:
In1 0.000 0.000 0.000
In2 0.250 0.250 0.250
Re1 0.500 0.500 0.500
Ru1 0.750 0.750 0.750

---

#x
# In2ReRu

A relaxed structure of In2ReRu (PBE, Alexandria via LeMat-Bulk).

magnetization = 0.00 μB/f.u.

Cell: 4.774 4.774 5.285 Å, 100.05 100.05 36.26°
Sites, in units of the cell vectors:
In1 0.248 0.248 0.245
In2 0.752 0.752 0.755
Re1 0.000 0.000 0.500
Ru1 0.500 0.500 0.000

---

Verdict on stability: #w comes out at the bottom.